Material: Na3TaGa
Method: DFT, GGA-PBEsol
State: relaxed

Unit cell a=5.8024 b=5.8024 c=5.8024 alpha=90.00 beta=90.00 gamma=90.00
Each line ends with the local moment (μB).
Positions (direct):
Na1 0.0000 0.5000 0.0000  0.05
Na2 0.0000 0.0000 0.5000  0.05
Na3 0.5000 0.0000 0.0000  0.05
Ga1 0.5000 0.5000 0.5000  0.01
Ta1 0.0000 0.0000 0.0000  2.52

Output
Formation enthalpy at 0 K, kJ/mol of atoms: 162.2
Space-group type: Pm-3m

Material: ZrBeCo
Method: DFT, GGA-PBEsol
State: relaxed

Unit cell a=3.2371 b=3.7889 c=3.7889 alpha=120.00 beta=90.00 gamma=90.00
Positions (direct):
Be1 0.0000 0.0000 0.0000
Co1 0.0000 0.3333 0.6667
Zr1 0.5000 0.6667 0.3333

Output
Formation enthalpy at 0 K, kJ/mol of atoms: -22.3
Space-group type: P-6m2

Material: Hf2FeRh
Method: DFT, GGA-PBEsol
State: relaxed

Unit cell a=4.4720 b=4.4720 c=4.4720 alpha=60.00 beta=60.00 gamma=60.00
Each line ends with the local moment (μB).
Positions (direct):
Rh1 0.5000 0.5000 0.5000  0.09
Hf1 0.2500 0.2500 0.2500  -0.06
Hf2 0.7500 0.7500 0.7500  -0.06
Fe1 0.0000 0.0000 0.0000  0.48

Output
Formation enthalpy at 0 K, kJ/mol of atoms: -55.5
Space-group type: Fm-3m

Material: SrZrCdGa2
Method: DFT, GGA-PBEsol
State: relaxed

Unit cell a=5.2273 b=5.4119 c=5.4119 alpha=90.00 beta=90.00 gamma=90.00
Positions (direct):
Sr1 0.0000 0.0000 0.0000
Ga1 0.0000 0.0000 0.5000
Ga2 0.0000 0.5000 0.0000
Zr1 0.5000 0.0000 0.0000
Cd1 0.5000 0.5000 0.5000

Output
Formation enthalpy at 0 K, kJ/mol of atoms: 134.1
Space-group type: P4/mmm

Material: TaCrP3
Method: DFT, GGA-PBEsol
State: relaxed

Unit cell a=4.7412 b=4.7412 c=4.7412 alpha=90.00 beta=90.00 gamma=90.00
Each line ends with the local moment (μB).
Positions (direct):
Cr1 0.5000 0.5000 0.5000  4.06
P1 0.0000 0.5000 0.0000  -0.09
P2 0.0000 0.0000 0.5000  -0.09
P3 0.5000 0.0000 0.0000  -0.09
Ta1 0.0000 0.0000 0.0000  0.08

Output
Formation enthalpy at 0 K, kJ/mol of atoms: 66.7
Space-group type: Pm-3m

Material: Ge3SN
Method: DFT, GGA-PBEsol
State: relaxed

Unit cell a=4.7908 b=4.7908 c=4.7908 alpha=90.00 beta=90.00 gamma=90.00
Positions (direct):
Ge1 0.0000 0.5000 0.0000
Ge2 0.0000 0.0000 0.5000
Ge3 0.5000 0.0000 0.0000
S1 0.0000 0.0000 0.0000
N1 0.5000 0.5000 0.5000

Output
Space-group type: Pm-3m
Formation energy without anion corrections, meV/atom: 1581

Material: IrBr
Method: DFT, GGA-PBEsol
State: relaxed

Unit cell a=3.0898 b=3.0898 c=4.4279 alpha=69.58 beta=69.58 gamma=60.00
Positions (direct):
Ir1 0.5000 0.5000 0.5000
Br1 0.0000 0.0000 0.0000

Output
Space-group type: R-3m
Formation energy without anion corrections, meV/atom: 1085

Material: AlReSbTe2
Method: DFT, GGA-PBEsol
State: relaxed

Unit cell a=5.0953 b=5.2452 c=5.2452 alpha=90.00 beta=90.00 gamma=90.00
Positions (direct):
Re1 0.0000 0.0000 0.0000
Te1 0.0000 0.0000 0.5000
Te2 0.0000 0.5000 0.0000
Al1 0.5000 0.5000 0.5000
Sb1 0.5000 0.0000 0.0000

Output
Space-group type: P4/mmm
Formation energy without anion corrections, meV/atom: 803

no.,VASP energy (eV/atom)
1,-2.3368
2,-7.1737
3,-10.1024
4,-2.3717
5,-7.3418
6,-3.9649
7,-4.7614
8,-5.0040